DFT (GGA+U) results for a relaxed structure of Sr2VP2O9.

Properties
The density comes out at 4.10 g/cm³. The total magnetization is 3.988 Bohr magnetons per cell. The calculation puts the energy at -7.355 eV/atom.

Cell: 7.4438 16.0070 6.8418 Å, 90.00 120.91 90.00°
With the nearest neighbours (Å) after each atom.
Space group Cc (No. 9)
Asymmetric unit:
Sr  0.0000  0.0423  0.0000 [4 per cell]  9 O 2.67-2.91
Sr  0.4981  0.1248  0.9995 [4 per cell]  8 O 2.53-2.73
V  0.2649  0.2532  0.2639 [4 per cell]  1 O 1.74
P  0.4981  0.0773  0.4981 [4 per cell]  4 O 1.53-1.59
P  0.4984  0.3364  0.9969 [4 per cell]  4 O 1.54-1.57
O  0.1100  0.1072  0.7100 [4 per cell]  1 P 1.54
O  0.1172  0.3641  0.2142 [4 per cell]  1 P 1.58
O  0.1513  0.2247  0.4730 [4 per cell]  1 P 1.57
O  0.1625  0.4757  0.9855 [4 per cell]  1 P 1.53
O  0.3342  0.0233  0.5093 [4 per cell]  1 P 1.53
O  0.3425  0.2769  0.0212 [4 per cell]  1 P 1.57
O  0.3767  0.1364  0.2828 [4 per cell]  1 P 1.59
O  0.3883  0.3927  0.7836 [4 per cell]  1 P 1.54
O  0.4985  0.2898  0.4938 [4 per cell]  1 V 1.74